(1)
Below is an optimized crystal structure of La2BeSnAu6, with properties calculated at the PBE level.

CIF file:
```
data_La2BeSnAu6
_chemical_formula_sum 'La2 Be1 Sn1 Au6'
_cell_length_a 6.293
_cell_length_b 6.435
_cell_length_c 7.408
_cell_angle_alpha 64.78
_cell_angle_beta 89.98
_cell_angle_gamma 60.90
_space_group_name_H-M_alt 'P -1'
_space_group_IT_number 2
loop_
_space_group_symop_operation_xyz
'x,y,z'
'-x,-y,-z'
loop_
_atom_site_label
_atom_site_type_symbol
_atom_site_fract_x
_atom_site_fract_y
_atom_site_fract_z
La1 La 0.250 0.002 0.191
Be1 Be 0.000 0.500 0.500
Sn1 Sn 0.500 0.500 0.000
Au1 Au 0.196 0.635 0.642
Au2 Au 0.223 0.053 0.743
Au3 Au 0.332 0.364 0.359
```

Size of the total moment = 0.0 Bohr magnetons per cell
Energy relative to the elements = -491.9 meV/atom
D(E_F) = 0.41 states/eV per atom



(2)
Below is an optimized crystal structure of La2TiBeAu, with properties calculated at the PBE level.

CIF file:
```
data_La2TiBeAu
_chemical_formula_sum 'La2 Ti1 Be1 Au1'
_cell_length_a 5.406
_cell_length_b 5.406
_cell_length_c 4.499
_cell_angle_alpha 90.00
_cell_angle_beta 90.00
_cell_angle_gamma 90.00
_space_group_name_H-M_alt 'P 4/m m m'
_space_group_IT_number 123
_space_group_name_Hall '-P 4 2'
loop_
_atom_site_label
_atom_site_type_symbol
_atom_site_fract_x
_atom_site_fract_y
_atom_site_fract_z
La1 La 0.000 0.500 0.000
Ti1 Ti 0.000 0.000 0.000
Be1 Be 0.000 0.000 0.500
Au1 Au 0.500 0.500 0.500
```

Size of the total moment = 0.0 Bohr magnetons per cell
Energy relative to the elements = 462.2 meV/atom
D(E_F) = 1.17 states/eV per atom



(3)
Below is an optimized crystal structure of LaBe2ZnAu4, with properties calculated at the PBE level.

CIF file:
```
data_LaBe2ZnAu4
_chemical_formula_sum 'La3 Be6 Zn3 Au12'
_cell_length_a 4.2677
_cell_length_b 4.2677
_cell_length_c 28.1862
_cell_angle_alpha 90.00
_cell_angle_beta 90.00
_cell_angle_gamma 120.00
_space_group_name_H-M_alt 'R -3 m'
_space_group_IT_number 166
_space_group_name_Hall '-R 3 2"'
loop_
_atom_site_label
_atom_site_type_symbol
_atom_site_fract_x
_atom_site_fract_y
_atom_site_fract_z
La1 La 0.0000 0.0000 0.0000
Be1 Be 0.0000 0.0000 0.1252
Zn1 Zn 0.0000 0.0000 0.5000
Au1 Au 0.0000 0.0000 0.2132
Au2 Au 0.0000 0.0000 0.4004
```

Size of the total moment = 0.0 Bohr magnetons per cell
Energy relative to the elements = -252.6 meV/atom
D(E_F) = 0.53 states/eV per atom



(4)
Below is an optimized crystal structure of LaBeZnAu2, with properties calculated at the PBE level.

CIF file:
```
data_LaBeZnAu2
_chemical_formula_sum 'La1 Be1 Zn1 Au2'
_cell_length_a 4.698
_cell_length_b 4.698
_cell_length_c 4.499
_cell_angle_alpha 90.00
_cell_angle_beta 90.00
_cell_angle_gamma 90.00
_space_group_name_H-M_alt 'P 4/m m m'
_space_group_IT_number 123
_space_group_name_Hall '-P 4 2'
loop_
_atom_site_label
_atom_site_type_symbol
_atom_site_fract_x
_atom_site_fract_y
_atom_site_fract_z
La1 La 0.000 0.000 0.000
Be1 Be 0.500 0.500 0.500
Zn1 Zn 0.500 0.500 0.000
Au1 Au 0.000 0.500 0.500
```

Size of the total moment = 0.0 Bohr magnetons per cell
Energy relative to the elements = -390.7 meV/atom
D(E_F) = 0.39 states/eV per atom



(5)
Below is an optimized crystal structure of La2BeZnAu6, with properties calculated at the PBE level.

CIF file:
```
data_La2BeZnAu6
_chemical_formula_sum 'La2 Be1 Zn1 Au6'
_cell_length_a 6.396
_cell_length_b 6.446
_cell_length_c 7.007
_cell_angle_alpha 88.69
_cell_angle_beta 62.98
_cell_angle_gamma 60.49
_space_group_name_H-M_alt 'P -1'
_space_group_IT_number 2
loop_
_space_group_symop_operation_xyz
'x,y,z'
'-x,-y,-z'
loop_
_atom_site_label
_atom_site_type_symbol
_atom_site_fract_x
_atom_site_fract_y
_atom_site_fract_z
La1 La 0.047 0.233 0.168
Be1 Be 0.500 0.000 0.500
Zn1 Zn 0.500 0.500 0.000
Au1 Au 0.022 0.227 0.706
Au2 Au 0.406 0.334 0.351
Au3 Au 0.432 0.783 0.306
```

Size of the total moment = 0.0 Bohr magnetons per cell
Energy relative to the elements = -509.9 meV/atom
D(E_F) = 0.55 states/eV per atom



(6)
Below is an optimized crystal structure of Li2BeAu, with properties calculated at the PBE level.

CIF file:
```
data_Li2BeAu
_chemical_formula_sum 'Li2 Be1 Au1'
_cell_length_a 2.790
_cell_length_b 3.997
_cell_length_c 4.955
_cell_angle_alpha 90.00
_cell_angle_beta 90.00
_cell_angle_gamma 90.00
_space_group_name_H-M_alt 'P m m m'
_space_group_IT_number 47
loop_
_space_group_symop_operation_xyz
'x,y,z'
'-x,-y,-z'
'-x,-y,z'
'x,y,-z'
'x,-y,-z'
'-x,y,z'
'-x,y,-z'
'x,-y,z'
loop_
_atom_site_label
_atom_site_type_symbol
_atom_site_fract_x
_atom_site_fract_y
_atom_site_fract_z
Li1 Li 0.000 0.000 0.246
Be1 Be 0.500 0.500 0.000
Au1 Au 0.500 0.500 0.500
```

Size of the total moment = 0.0 Bohr magnetons per cell
Energy relative to the elements = -104.4 meV/atom
D(E_F) = 0.32 states/eV per atom



(7)
Below is an optimized crystal structure of LiBe2Au, with properties calculated at the PBE level.

CIF file:
```
data_LiBe2Au
_chemical_formula_sum 'Li2 Be4 Au2'
_cell_length_a 2.612
_cell_length_b 4.206
_cell_length_c 10.101
_cell_angle_alpha 90.00
_cell_angle_beta 90.00
_cell_angle_gamma 90.00
_space_group_name_H-M_alt 'I m m m'
_space_group_IT_number 71
_space_group_name_Hall '-I 2 2'
loop_
_atom_site_label
_atom_site_type_symbol
_atom_site_fract_x
_atom_site_fract_y
_atom_site_fract_z
Li1 Li 0.000 0.000 0.000
Be1 Be 0.000 0.000 0.264
Au1 Au 0.000 0.000 0.500
```

Size of the total moment = 0.0 Bohr magnetons per cell
Energy relative to the elements = 273.0 meV/atom
D(E_F) = 0.28 states/eV per atom



(8)
Below is an optimized crystal structure of LiBe2Au, with properties calculated at the PBE level.

CIF file:
```
data_LiBe2Au
_chemical_formula_sum 'Li4 Be8 Au4'
_cell_length_a 4.160
_cell_length_b 4.160
_cell_length_c 16.089
_cell_angle_alpha 90.00
_cell_angle_beta 90.00
_cell_angle_gamma 90.00
_space_group_name_H-M_alt 'I 41/a m d'
_space_group_IT_number 141
loop_
_space_group_symop_operation_xyz
'x,y,z'
'-x,-y,-z'
'-y+1/4,x+3/4,z+1/4'
'y+1/4,-x+3/4,-z+1/4'
'-x+1/2,-y,z+1/2'
'x+1/2,y,-z+1/2'
'y+1/4,-x+1/4,z+3/4'
'-y+1/4,x+1/4,-z+3/4'
'x,-y,-z'
'-x,y,z'
'-y+1/4,-x+1/4,-z+3/4'
'y+1/4,x+1/4,z+3/4'
'-x+1/2,y,-z+1/2'
'x+1/2,-y,z+1/2'
'y+1/4,x+3/4,-z+1/4'
'-y+1/4,-x+3/4,z+1/4'
'x+1/2,y+1/2,z+1/2'
'-x+1/2,-y+1/2,-z+1/2'
'-y+3/4,x+1/4,z+3/4'
'y+3/4,-x+1/4,-z+3/4'
'-x,-y+1/2,z'
'x,y+1/2,-z'
'y+3/4,-x+3/4,z+1/4'
'-y+3/4,x+3/4,-z+1/4'
'x+1/2,-y+1/2,-z+1/2'
'-x+1/2,y+1/2,z+1/2'
'-y+3/4,-x+3/4,-z+1/4'
'y+3/4,x+3/4,z+1/4'
'-x,y+1/2,-z'
'x,-y+1/2,z'
'y+3/4,x+1/4,-z+3/4'
'-y+3/4,-x+1/4,z+3/4'
loop_
_atom_site_label
_atom_site_type_symbol
_atom_site_fract_x
_atom_site_fract_y
_atom_site_fract_z
Li1 Li 0.000 0.250 0.375
Be1 Be 0.000 0.000 0.000
Au1 Au 0.000 0.250 0.875
```

Size of the total moment = 0.0 Bohr magnetons per cell
Energy relative to the elements = 225.6 meV/atom
D(E_F) = 0.42 states/eV per atom



(9)
Below is an optimized crystal structure of Li2BeAu, with properties calculated at the PBE level.

CIF file:
```
data_Li2BeAu
_chemical_formula_sum 'Li4 Be2 Au2'
_cell_length_a 4.175
_cell_length_b 4.175
_cell_length_c 5.945
_cell_angle_alpha 90.00
_cell_angle_beta 90.00
_cell_angle_gamma 90.00
_space_group_name_H-M_alt 'I -4 m 2'
_space_group_IT_number 119
_space_group_name_Hall 'I -4 -2'
loop_
_atom_site_label
_atom_site_type_symbol
_atom_site_fract_x
_atom_site_fract_y
_atom_site_fract_z
Li1 Li 0.000 0.000 0.000
Li2 Li 0.000 0.500 0.250
Be1 Be 0.000 0.000 0.500
Au1 Au 0.000 0.500 0.750
```

Size of the total moment = 0.0 Bohr magnetons per cell
Energy relative to the elements = -261.6 meV/atom
D(E_F) = 0.42 states/eV per atom



(10)
Below is an optimized crystal structure of LiBe2Au4, with properties calculated at the PBE level.

CIF file:
```
data_LiBe2Au4
_chemical_formula_sum 'Li2 Be4 Au8'
_cell_length_a 6.040
_cell_length_b 6.040
_cell_length_c 5.681
_cell_angle_alpha 90.00
_cell_angle_beta 90.00
_cell_angle_gamma 90.00
_space_group_name_H-M_alt 'I 4/m m m'
_space_group_IT_number 139
_space_group_name_Hall '-I 4 2'
loop_
_atom_site_label
_atom_site_type_symbol
_atom_site_fract_x
_atom_site_fract_y
_atom_site_fract_z
Li1 Li 0.000 0.000 0.000
Be1 Be 0.000 0.500 0.000
Au1 Au 0.250 0.250 0.250
```

Size of the total moment = 0.0 Bohr magnetons per cell
Energy relative to the elements = -232.0 meV/atom
D(E_F) = 0.13 states/eV per atom



(11)
Below is an optimized crystal structure of LiBeAu3, with properties calculated at the PBE level.

CIF file:
```
data_LiBeAu3
_chemical_formula_sum 'Li4 Be4 Au12'
_cell_length_a 9.899
_cell_length_b 5.799
_cell_length_c 7.290
_cell_angle_alpha 90.00
_cell_angle_beta 124.64
_cell_angle_gamma 90.00
_space_group_name_H-M_alt 'C 1 m 1'
_space_group_IT_number 8
loop_
_space_group_symop_operation_xyz
'x,y,z'
'x,-y,z'
'x+1/2,y+1/2,z'
'x+1/2,-y+1/2,z'
loop_
_atom_site_label
_atom_site_type_symbol
_atom_site_fract_x
_atom_site_fract_y
_atom_site_fract_z
Li1 Li 0.000 0.000 0.000
Li2 Li 0.153 0.000 0.648
Be1 Be 0.016 0.500 0.828
Be2 Be 0.399 0.000 0.333
Au1 Au 0.056 0.500 0.176
Au2 Au 0.161 0.500 0.648
Au3 Au 0.256 0.253 0.041
Au4 Au 0.346 0.255 0.531
```

Size of the total moment = 0.0 Bohr magnetons per cell
Energy relative to the elements = -262.4 meV/atom
D(E_F) = 0.22 states/eV per atom



(12)
Below is an optimized crystal structure of LiBe3Au6, with properties calculated at the PBE level.

CIF file:
```
data_LiBe3Au6
_chemical_formula_sum 'Li4 Be12 Au24'
_cell_length_a 9.180
_cell_length_b 11.687
_cell_length_c 5.847
_cell_angle_alpha 90.00
_cell_angle_beta 90.00
_cell_angle_gamma 90.00
_space_group_name_H-M_alt 'C m c 21'
_space_group_IT_number 36
loop_
_space_group_symop_operation_xyz
'x,y,z'
'-x,-y,z+1/2'
'-x,y,z'
'x,-y,z+1/2'
'x+1/2,y+1/2,z'
'-x+1/2,-y+1/2,z+1/2'
'-x+1/2,y+1/2,z'
'x+1/2,-y+1/2,z+1/2'
loop_
_atom_site_label
_atom_site_type_symbol
_atom_site_fract_x
_atom_site_fract_y
_atom_site_fract_z
Li1 Li 0.000 0.204 0.000
Be1 Be 0.000 0.425 0.286
Be2 Be 0.165 0.110 0.391
Au1 Au 0.000 0.017 0.690
Au2 Au 0.000 0.257 0.515
Au3 Au 0.180 0.469 0.587
Au4 Au 0.236 0.295 0.228
```

Size of the total moment = 0.0 Bohr magnetons per cell
Energy relative to the elements = -191.1 meV/atom
D(E_F) = 0.18 states/eV per atom